Record 1
The following is a DFT calculation (PBE-GGA) of a relaxed structure of LiTlBrF.

## Properties
ΔE to the lowest computed polymorph: 31 meV/atom
Fermi-level density of states: 0.000 states/eV per atom
size of the total moment: 0.000 μB per cell
formation energy without anion corrections: -1.696 eV/atom

a = 3.7594 Å, b = 3.7603 Å, c = 6.8789 Å
α = 75.37°, β = 74.29°, γ = 89.96°
Last column: nearest neighbours and their distance in Å.
Fractional positions:
Li1 0.1617 0.7403 0.8449  1 F 1.83
Tl1 0.4562 0.0510 0.2632  4 F 2.77-2.81
Br1 0.7159 0.2913 0.7356  4 Li 2.75
F1 0.0189 0.6064 0.1314  1 Li 1.83

=====

Record 2
The following is a DFT calculation (PBE-GGA) of a relaxed structure of LiTlBrF.

## Properties
ΔE to the lowest computed polymorph: 0 meV/atom
Fermi-level density of states: 0.000 states/eV per atom
size of the total moment: 0.000 μB per cell
formation energy without anion corrections: -1.727 eV/atom

a = 6.9896 Å, b = 4.2348 Å, c = 7.3415 Å
α = 90.00°, β = 110.35°, γ = 90.00°
Last column: nearest neighbours and their distance in Å.
Fractional positions:
Li1 0.3694 0.0000 0.4762  1 F 1.82
Li2 0.3694 0.5000 0.9762  1 F 1.82
Tl1 0.9314 0.0000 0.6648  3 F 2.66
Tl2 0.9314 0.5000 0.1648  3 F 2.66
Br1 0.5082 0.0000 0.8553  3 Li 2.61
Br2 0.5082 0.5000 0.3553  3 Li 2.61
F1 0.0922 0.0000 0.3846  1 Li 1.82
F2 0.0922 0.5000 0.8846  1 Li 1.82

=====

Record 3
The following is a DFT calculation (PBE-GGA) of a relaxed structure of LiTlBrF.

## Properties
ΔE to the lowest computed polymorph: 32 meV/atom
Fermi-level density of states: 0.000 states/eV per atom
size of the total moment: 0.000 μB per cell
formation energy without anion corrections: -1.695 eV/atom

a = 3.6294 Å, b = 4.1891 Å, c = 12.1340 Å
α = 90.00°, β = 90.25°, γ = 90.00°
Last column: nearest neighbours and their distance in Å.
Fractional positions:
Li1 0.0308 0.0000 0.5367  2 F 1.95
Li2 0.0308 0.5000 0.0367  2 F 1.95
Tl1 0.5352 0.0000 0.8274  2 F 2.78
Tl2 0.5352 0.5000 0.3273  2 F 2.78
Br1 0.0338 0.0000 0.1745  2 Li 2.68
Br2 0.0338 0.5000 0.6745  2 Li 2.68
F1 0.5301 0.0000 0.4780  2 Li 1.95
F2 0.5301 0.5000 0.9780  2 Li 1.95

=====

Record 4
The following is a DFT calculation (PBE-GGA) of a relaxed structure of LiUBrF4.

## Properties
Fermi-level density of states: 0.909 states/eV per atom
size of the total moment: 4.000 μB per cell
formation energy without anion corrections: -3.021 eV/atom

a = 6.4454 Å, b = 6.4454 Å, c = 7.1019 Å
α = 74.58°, β = 74.58°, γ = 67.72°
Last column: nearest neighbours and their distance in Å.
Fractional positions:
Li1 0.6328 0.6328 0.7240  4 F 1.88-1.99
Li2 0.3672 0.3672 0.2760  4 F 1.88-1.99
U1 0.2376 0.2376 0.8739  4 F 2.14-2.26
U2 0.7624 0.7624 0.1261  4 F 2.14-2.26
Br1 0.0027 0.0027 0.2420  2 U 2.94-2.99, 3 F 3.13-3.20
Br2 0.9973 0.9973 0.7580  2 U 2.94-2.99, 3 F 3.13-3.20
F1 0.3031 0.3031 0.5549  1 Li 1.88
F2 0.6969 0.6969 0.4451  1 Li 1.88
F3 0.0981 0.4756 0.1457  1 Li 1.99
F4 0.5535 0.5535 0.1848  1 Li 1.89
F5 0.5244 0.9019 0.8543  1 Li 1.99
F6 0.4756 0.0981 0.1457  1 Li 1.99
F7 0.4465 0.4465 0.8152  1 Li 1.89
F8 0.9019 0.5244 0.8543  1 Li 1.99